{
  "formula": "Pb2SBr2",
  "functional": "GGA-PBE",
  "state": "optimized geometry",
  "total_magnetization_mub_per_fu": 0.00,
  "space_group": "No. 36",
  "dos_ef_per_ev_cell": 0.0,
  "raw_formation_energy_kj_per_mol_fu": -358,
  "e_above_lowest_polymorph_mev_per_atom": 7,
  "lattice_angstrom": [[2.154, -7.260, 0.000], [2.154, 7.260, 0.000], [0.000, 0.000, 10.496]],
  "species": ["Pb", "Pb", "Pb", "Pb", "S", "S", "Br", "Br", "Br", "Br"],
  "frac_coords": [[0.000, 0.000, 0.000], [0.000, 0.000, 0.500], [0.296, 0.704, 0.751], [0.704, 0.296, 0.251], [0.086, 0.914, 0.250], [0.914, 0.086, 0.750], [0.353, 0.647, 0.056], [0.353, 0.647, 0.444], [0.647, 0.353, 0.556], [0.647, 0.353, 0.944]]
}